VASP calculation (PBE-GGA) on TlCu2Br2 after structural relaxation.

a b c (Å): 4.9957 4.9957 9.4676
angles (deg): 90.00 90.00 90.00
Positions (direct):
Tl: 0.0000 0.0000 0.0000
Tl: 0.5000 0.5000 0.5000
Cu: 0.0000 0.0000 0.3699
Cu: 0.0000 0.0000 0.6301
Cu: 0.5000 0.5000 0.1301
Cu: 0.5000 0.5000 0.8699
Br: 0.0000 0.5000 0.2500
Br: 0.0000 0.5000 0.7500
Br: 0.5000 0.0000 0.2500
Br: 0.5000 0.0000 0.7500

Calculated values
Its formation energy (no corrections) is 0.014 eV per atom. Its calculated total energy is -2.767 eV per atom. The symmetry is I4/mmm.